[1]
DFT (PBE-GGA) results for an optimized crystal structure of MnFeCuHg2.

Properties
Its formation energy is 464 kJ/mol of formula units. The calculation puts the volume at 21.07 Å³/atom.

Unit cell a=4.991 b=4.230 c=4.991 alpha=90.00 beta=90.00 gamma=90.00
Last column: magnetic moment on the atom in μB.
Fractional positions:
Cu1 0.500 0.500 0.500  0.02
Hg1 0.500 0.000 0.000  -0.01
Hg2 0.000 0.000 0.500  0.00
Fe1 0.000 0.000 0.000  0.84
Mn1 0.000 0.500 0.000  3.22



[2]
DFT (PBE-GGA) results for an optimized crystal structure of Fe2CuHgN.

Properties
The value obtained for the uncorrected formation energy is 165 meV per atom. The calculation puts the volume at 12.41 Å³/atom.

Unit cell a=3.868 b=3.868 c=4.149 alpha=90.00 beta=90.00 gamma=90.00
Last column: magnetic moment on the atom in μB.
Fractional positions:
Fe1 0.500 0.000 0.000  2.31
Fe2 0.000 0.500 0.000  2.31
Hg1 0.500 0.500 0.500  -0.06
Cu1 0.000 0.000 0.500  0.00
N1 0.000 0.000 0.000  0.03



[3]
DFT (PBE-GGA) results for an optimized crystal structure of Nb2FeCuHg.

Properties
Its formation energy is 338 kJ/mol of formula units. The calculation puts the volume at 18.60 Å³/atom.

Unit cell a=4.526 b=4.540 c=4.526 alpha=90.00 beta=90.00 gamma=90.00
Fractional positions:
Hg1 0.500 0.500 0.500
Cu1 0.000 0.500 0.000
Fe1 0.000 0.000 0.000
Nb1 0.500 0.000 0.000
Nb2 0.000 0.000 0.500



volume of number 2 (Fe2CuHgN)? 12.41 Å³/atom



What is the volume in the second record? 12.41 Å³/atom



What is the volume in the first record? 21.07 Å³/atom



What is the volume in the second record? 12.41 Å³/atom